[1]
A geometry-optimized K2Zn6O7 structure, computed with GGA-PBEsol.

Cell and atoms, written as POSCAR:
```
K2Zn6O7
1.0
-1.0490 3.0998 -0.5495
-2.5685 -2.6732 -10.1775
-9.9500 -2.7920 3.2444
K Zn O
4 12 14
direct
0.5000 0.3590 0.3590 K
0.0000 0.8590 0.1410 K
0.0000 0.1410 0.8590 K
0.5000 0.6410 0.6410 K
0.0000 0.0873 0.3484 Zn
0.5000 0.8484 0.4127 Zn
0.5000 0.1516 0.5873 Zn
0.0000 0.9127 0.6516 Zn
0.5000 0.5873 0.1516 Zn
0.5000 0.4127 0.8484 Zn
0.0000 0.6516 0.9127 Zn
0.0000 0.3484 0.0873 Zn
0.5000 0.1216 0.1216 Zn
0.0000 0.6216 0.3784 Zn
0.0000 0.3784 0.6216 Zn
0.5000 0.8784 0.8784 Zn
0.5000 0.9961 0.3113 O
0.0000 0.8113 0.5039 O
0.0000 0.1887 0.4961 O
0.5000 0.0039 0.6887 O
0.0000 0.4961 0.1887 O
0.0000 0.5039 0.8113 O
0.5000 0.6887 0.0039 O
0.5000 0.3113 0.9961 O
0.0000 0.1928 0.1928 O
0.5000 0.6928 0.3072 O
0.5000 0.3072 0.6928 O
0.0000 0.8072 0.8072 O
0.5000 0.0000 0.0000 O
0.0000 0.5000 0.5000 O
```

---

[2]
A geometry-optimized K2Zn3O4 structure, computed with GGA-PBEsol.

Cell and atoms, written as POSCAR:
```
K2Zn3O4
1.0
-4.0602 2.2524 3.3618
-4.4138 -3.4204 -3.0391
4.3064 -4.2912 5.2248
K Zn O
4 6 8
direct
0.0139 0.7578 0.7617 K
0.5139 0.0039 0.7617 K
0.9861 0.2422 0.2383 K
0.4861 0.9961 0.2383 K
0.9158 0.1918 0.6184 Zn
0.4158 0.4266 0.6184 Zn
0.0842 0.8082 0.3816 Zn
0.7500 0.5195 0.0000 Zn
0.2500 0.4805 0.0000 Zn
0.5842 0.5734 0.3816 Zn
0.7840 0.8595 0.4717 O
0.9554 0.2627 0.8848 O
0.5446 0.3779 0.1152 O
0.0446 0.7373 0.1152 O
0.7160 0.3878 0.5283 O
0.2160 0.1405 0.5283 O
0.2840 0.6122 0.4717 O
0.4554 0.6221 0.8848 O
```

## Properties
DOS(E_F), states/eV/atom: 0.00

---

Respective calculated volume values: 12.977 14.509 Å³/atom.
Respective formation energy without anion corrections values: -1.41 -1.41 eV per atom.